No. 1
The following is a DFT calculation (PBE) of a relaxed La6Cd2FeH crystal.

Geometry as extended XYZ:
```
10
Lattice="7.2853 0.0000 0.0000 3.3864 6.5292 0.0000 3.3691 2.3769 6.0992" Properties=species:S:1:pos:R:3 pbc="T T T"
La 3.1740 2.6201 1.4070
La 5.1683 5.6774 1.2457
La 7.2301 6.7303 4.1952
La 6.8107 2.1759 1.9040
La 8.8725 3.2287 4.8535
La 10.8668 6.2860 4.6922
Cd 5.2809 3.4618 4.5377
Cd 8.7599 5.4443 1.5615
Fe 1.6846 1.1884 3.0496
H 5.3358 3.2646 0.0000
```

Crystal system: triclinic
Final energy, eV/atom: -4.493


No. 2
The following is a DFT calculation (PBE) of a relaxed Ti3Si crystal.

Geometry as extended XYZ:
```
4
Lattice="0.0000 3.1394 3.1394 3.1394 0.0000 3.1394 3.1394 3.1394 0.0000" Properties=species:S:1:pos:R:3 pbc="T T T"
Ti 0.0000 0.0000 0.0000
Ti 1.5697 1.5697 1.5697
Ti 4.7091 4.7091 4.7091
Si 3.1394 3.1394 3.1394
```

Energy relative to the elements, uncorrected, eV per atom: -0.322
Crystal system: cubic
Final energy, eV/atom: -7.599


No. 3
The following is a DFT calculation (PBE) of a relaxed Fe3Ir13 crystal.

Geometry as extended XYZ:
```
16
Lattice="7.6539 0.0000 0.0000 0.0000 3.8269 3.8553 0.0000 -3.8269 3.8553" Properties=species:S:1:pos:R:3 pbc="T T T"
Fe 0.0000 0.0000 0.0000
Fe 1.9243 0.0000 1.9508
Fe 5.7296 0.0000 1.9508
Ir 0.0000 -1.8782 1.9366
Ir 0.0000 1.8782 1.9366
Ir 0.0000 0.0000 3.8534
Ir 1.9016 -1.9295 3.8752
Ir 1.8998 0.0000 5.8082
Ir 1.9016 1.9295 3.8752
Ir 3.8269 0.0000 0.0252
Ir 3.8269 -1.8969 1.9416
Ir 3.8269 0.0000 3.8498
Ir 3.8269 1.8969 1.9416
Ir 5.7523 -1.9295 3.8752
Ir 5.7541 0.0000 5.8082
Ir 5.7523 1.9295 3.8752
```

Formation enthalpy at 0 K, eV/atom: -0.0196
Crystal system: orthorhombic
Final energy, eV/atom: -8.806


No. 4
The following is a DFT calculation (PBE) of a relaxed Sc6CdNi2 crystal.

Geometry as extended XYZ:
```
18
Lattice="-4.3772 4.4815 4.7101 4.3772 -4.4815 4.7101 4.3772 4.4815 -4.7101" Properties=species:S:1:pos:R:3 pbc="T T T"
Sc 4.3772 2.6147 -2.4913
Sc 2.5446 1.6786 0.0000
Sc 6.2098 1.6786 0.0000
Sc 1.7677 4.4815 -1.6640
Sc 2.6095 0.0000 3.0461
Sc 0.0000 1.8668 2.2187
Sc 4.3772 2.6147 2.4913
Sc 1.7677 4.4815 1.6640
Sc 2.6095 0.0000 6.3740
Sc -1.8326 2.8029 4.7101
Sc 1.8326 2.8029 4.7101
Sc 0.0000 1.8668 7.2014
Cd 0.0000 0.0000 0.0000
Cd 0.0000 0.0000 4.7101
Ni 4.3772 0.0000 1.2059
Ni 0.0000 3.1765 0.0000
Ni 0.0000 5.7865 0.0000
Ni 0.0000 4.4815 3.5041
```

Formation enthalpy at 0 K, eV/atom: -0.3157
Crystal system: orthorhombic
Final energy, eV/atom: -5.923


No. 5
The following is a DFT calculation (PBE) of a relaxed La2CuTe2O2 crystal.

Geometry as extended XYZ:
```
7
Lattice="4.0842 0.0000 0.0000 -2.0421 3.5370 0.0000 0.0000 0.0000 12.5945" Properties=species:S:1:pos:R:3 pbc="T T T"
La 0.0000 2.3580 1.5320
La 2.0421 1.1790 11.0625
Cu 0.0000 0.0000 6.2972
Te 0.0000 0.0000 3.8844
Te 0.0000 0.0000 8.7100
O 0.0000 2.3580 11.6812
O 2.0421 1.1790 0.9133
```

Energy relative to the elements, uncorrected, eV per atom: -1.910
Crystal system: trigonal
Final energy, eV/atom: -6.218


No. 6
The following is a DFT calculation (PBE) of a relaxed Rb2CaAgTe crystal.

Geometry as extended XYZ:
```
5
Lattice="6.7668 0.0000 0.0000 0.0000 6.7668 0.0000 0.0000 0.0000 5.4991" Properties=species:S:1:pos:R:3 pbc="T T T"
Rb 0.0000 3.3834 0.0000
Rb 3.3834 0.0000 0.0000
Ca 0.0000 0.0000 2.7495
Ag 3.3834 3.3834 0.0000
Te 3.3834 3.3834 2.7495
```

Energy relative to the elements, uncorrected, eV per atom: -0.040
Crystal system: tetragonal
Final energy, eV/atom: -2.026


No. 7
The following is a DFT calculation (PBE) of a relaxed Tm8Fe2Ni crystal.

Geometry as extended XYZ:
```
11
Lattice="5.8148 -3.8654 0.0000 5.8148 3.8654 0.0000 -5.7310 0.0000 6.2239" Properties=species:S:1:pos:R:3 pbc="T T T"
Tm 1.4498 2.0278 4.1968
Tm 1.5182 0.0000 0.9008
Tm 4.4488 2.0278 2.0270
Tm -1.3001 0.0000 5.1912
Tm 7.1987 0.0000 1.0327
Tm 1.4498 -2.0278 4.1968
Tm 4.3804 0.0000 5.3231
Tm 4.4488 -2.0278 2.0270
Fe 0.2722 0.0000 3.1079
Fe 5.6264 0.0000 3.1159
Ni 2.9493 0.0000 3.1119
```

Formation enthalpy at 0 K, eV/atom: -0.0329
Crystal system: monoclinic
Final energy, eV/atom: -5.349


No. 8
The following is a DFT calculation (PBE) of a relaxed Rb2HfZnS crystal.

Geometry as extended XYZ:
```
5
Lattice="6.7148 0.0000 0.0000 0.0000 6.7148 0.0000 0.0000 0.0000 4.5235" Properties=species:S:1:pos:R:3 pbc="T T T"
Rb 0.0000 3.3574 0.0000
Rb 3.3574 0.0000 0.0000
Hf 0.0000 0.0000 2.2618
Zn 3.3574 3.3574 2.2618
S 3.3574 3.3574 0.0000
```

Energy relative to the elements, uncorrected, eV per atom: 0.653
Crystal system: tetragonal
Final energy, eV/atom: -2.805


Copy entry 1 word for word.
The following is a DFT calculation (PBE) of a relaxed La6Cd2FeH crystal.

Geometry as extended XYZ:
```
10
Lattice="7.2853 0.0000 0.0000 3.3864 6.5292 0.0000 3.3691 2.3769 6.0992" Properties=species:S:1:pos:R:3 pbc="T T T"
La 3.1740 2.6201 1.4070
La 5.1683 5.6774 1.2457
La 7.2301 6.7303 4.1952
La 6.8107 2.1759 1.9040
La 8.8725 3.2287 4.8535
La 10.8668 6.2860 4.6922
Cd 5.2809 3.4618 4.5377
Cd 8.7599 5.4443 1.5615
Fe 1.6846 1.1884 3.0496
H 5.3358 3.2646 0.0000
```

Crystal system: triclinic
Final energy, eV/atom: -4.493


What did the fourth record say?
The following is a DFT calculation (PBE) of a relaxed Sc6CdNi2 crystal.

Geometry as extended XYZ:
```
18
Lattice="-4.3772 4.4815 4.7101 4.3772 -4.4815 4.7101 4.3772 4.4815 -4.7101" Properties=species:S:1:pos:R:3 pbc="T T T"
Sc 4.3772 2.6147 -2.4913
Sc 2.5446 1.6786 0.0000
Sc 6.2098 1.6786 0.0000
Sc 1.7677 4.4815 -1.6640
Sc 2.6095 0.0000 3.0461
Sc 0.0000 1.8668 2.2187
Sc 4.3772 2.6147 2.4913
Sc 1.7677 4.4815 1.6640
Sc 2.6095 0.0000 6.3740
Sc -1.8326 2.8029 4.7101
Sc 1.8326 2.8029 4.7101
Sc 0.0000 1.8668 7.2014
Cd 0.0000 0.0000 0.0000
Cd 0.0000 0.0000 4.7101
Ni 4.3772 0.0000 1.2059
Ni 0.0000 3.1765 0.0000
Ni 0.0000 5.7865 0.0000
Ni 0.0000 4.4815 3.5041
```

Formation enthalpy at 0 K, eV/atom: -0.3157
Crystal system: orthorhombic
Final energy, eV/atom: -5.923


What is the final energy in the third record?
-8.806 eV/atom


The lowest final energy belongs to which entry?
Fe3Ir13